*a*
The following is a GGA-PBE calculation of a relaxed AlGaSi2 crystal, from the Alexandria database.

Cell lengths 5.1085, 5.1085, 7.6282 Å; angles 70.44, 70.44, 90.00 degrees
Last column: nearest neighbours and their distance in Å.
Positions (direct):
Si: 0.6290 0.1250 0.2500  2 Ga 2.46, 2 Al 2.48
Si: 0.1210 0.6250 0.2500  2 Ga 2.46, 2 Al 2.48
Si: 0.3750 0.3710 0.7500  2 Ga 2.46, 2 Al 2.48
Si: 0.8750 0.8790 0.7500  2 Ga 2.46, 2 Al 2.48
Al: 0.5000 0.5000 0.0000  4 Si 2.48
Al: 0.2500 0.7500 0.5000  4 Si 2.48
Ga: 0.0000 0.0000 0.0000  4 Si 2.46
Ga: 0.7500 0.2500 0.5000  4 Si 2.46

Summary:
Volume (Å³/cell): 175
Symmetry: I-42d, No. 122
Spin magnetization (μB per atom): 0.00

***

*b*
The following is a GGA-PBE calculation of a relaxed AlGaSi2 crystal, from the Alexandria database.

Cell lengths 4.5258, 4.5258, 4.5258 Å; angles 60.00, 60.00, 60.00 degrees
Last column: nearest neighbours and their distance in Å.
Positions (direct):
Si: 0.2500 0.2500 0.2500  4 Al 2.77, 4 Ga 2.77
Si: 0.7500 0.7500 0.7500  4 Ga 2.77, 4 Al 2.77
Al: 0.0000 0.0000 0.0000  8 Si 2.77
Ga: 0.5000 0.5000 0.5000  8 Si 2.77

Summary:
Volume (Å³/cell): 66
Symmetry: Fm-3m, No. 225
Spin magnetization (μB per atom): 0.00

***

Which of them is the most stable, and which is the least stable? *a* and *b*, in that order.

***

*a*
The following is a GGA-PBE calculation of a relaxed AlGa2Si2 crystal, from the Alexandria database.

Cell lengths 7.2687, 7.2687, 3.2688 Å; angles 90.00, 90.00, 90.00 degrees
Last column: nearest neighbours and their distance in Å.
Positions (direct):
Si: 0.3709 0.8709 0.0000  1 Si 2.66, 6 Ga 2.66-2.72, 2 Al 2.85
Si: 0.8709 0.6291 0.0000  1 Si 2.66, 6 Ga 2.66-2.72, 2 Al 2.85
Si: 0.6291 0.1291 0.0000  1 Si 2.66, 6 Ga 2.66-2.72, 2 Al 2.85
Si: 0.1291 0.3709 0.0000  1 Si 2.66, 6 Ga 2.66-2.72, 2 Al 2.85
Al: 0.0000 0.0000 0.0000  4 Si 2.85, 8 Ga 3.16
Al: 0.5000 0.5000 0.0000  4 Si 2.85, 8 Ga 3.16
Ga: 0.1670 0.6670 0.5000  6 Si 2.66-2.72
Ga: 0.6670 0.8330 0.5000  6 Si 2.66-2.72
Ga: 0.8330 0.3330 0.5000  6 Si 2.66-2.72
Ga: 0.3330 0.1670 0.5000  6 Si 2.66-2.72

Summary:
Volume (Å³/cell): 173
Symmetry: P4/mbm, No. 127
Spin magnetization (μB per atom): 0.00

***

*b*
The following is a GGA-PBE calculation of a relaxed AlGa2Si2 crystal, from the Alexandria database.

Cell lengths 7.6062, 7.6062, 2.9814 Å; angles 90.00, 90.00, 90.00 degrees
Last column: nearest neighbours and their distance in Å.
Positions (direct):
Si: 0.1525 0.6525 0.5000  6 Ga 2.65-2.71
Si: 0.6525 0.8475 0.5000  6 Ga 2.65-2.71
Si: 0.8475 0.3475 0.5000  6 Ga 2.65-2.71
Si: 0.3475 0.1525 0.5000  6 Ga 2.65-2.71
Al: 0.0000 0.0000 0.0000  4 Ga 2.92, 2 Al 2.98, 8 Si 3.25
Al: 0.5000 0.5000 0.0000  4 Ga 2.92, 2 Al 2.98, 8 Si 3.25
Ga: 0.3557 0.8557 0.0000  6 Si 2.65-2.71, 2 Al 2.92
Ga: 0.8557 0.6443 0.0000  6 Si 2.65-2.71, 2 Al 2.92
Ga: 0.6443 0.1443 0.0000  6 Si 2.65-2.71, 2 Al 2.92
Ga: 0.1443 0.3557 0.0000  6 Si 2.65-2.71, 2 Al 2.92

Summary:
Volume (Å³/cell): 172
Symmetry: P4/mbm, No. 127
Spin magnetization (μB per atom): 0.00

***

Which of them is the most stable, and which is the least stable? *a* and *b*, in that order.

***

*a*
The following is a GGA-PBE calculation of a relaxed Sm2Al3Ga2 crystal, from the Alexandria database.

Cell lengths 3.5799, 4.3070, 10.0802 Å; angles 102.34, 90.00, 90.00 degrees
Last column: nearest neighbours and their distance in Å.
Positions (direct):
Sm: 0.0000 0.8440 0.6880  6 Ga 3.01-3.15, 5 Al 3.07-3.29
Sm: 0.0000 0.1560 0.3120  6 Ga 3.01-3.15, 5 Al 3.07-3.29
Al: 0.5000 0.5683 0.1366  1 Al 2.69, 1 Ga 2.84
Al: 0.5000 0.4317 0.8634  1 Al 2.69, 1 Ga 2.84
Al: 0.0000 0.0000 0.0000  2 Sm 3.07, 8 Al 3.11
Ga: 0.5000 0.7122 0.4245  2 Ga 2.62, 1 Al 2.84
Ga: 0.5000 0.2878 0.5755  2 Ga 2.62, 1 Al 2.84

Summary:
Volume (Å³/cell): 152
Symmetry: Cmmm, No. 65
Spin magnetization (μB per atom): 0.00

***

*b*
The following is a GGA-PBE calculation of a relaxed Sm2Al3Ga2 crystal, from the Alexandria database.

Cell lengths 4.2621, 5.7606, 6.6124 Å; angles 101.12, 90.00, 111.71 degrees
Last column: nearest neighbours and their distance in Å.
Positions (direct):
Sm: 0.6192 0.2384 0.3270  5 Ga 3.04-3.15, 6 Al 3.11-3.40
Sm: 0.3808 0.7615 0.6730  5 Ga 3.04-3.15, 6 Al 3.11-3.40
Al: 0.2986 0.5972 0.1356  2 Ga 2.67, 2 Al 2.84
Al: 0.0000 0.0000 0.0000  2 Ga 2.68
Al: 0.7014 0.4028 0.8644  2 Ga 2.67, 2 Al 2.84
Ga: 0.0945 0.1891 0.6548  1 Ga 2.56, 3 Al 2.67-2.68
Ga: 0.9055 0.8109 0.3452  1 Ga 2.56, 3 Al 2.67-2.68

Summary:
Volume (Å³/cell): 148
Symmetry: C2/m, No. 12
Spin magnetization (μB per atom): 0.00

***

Which of them is the most stable, and which is the least stable? *b* and *a*, in that order.